Density functional theory data (PBEsol) for a relaxed structure of Li3Sb2P3O12.

- Calculated volume: 11.71 A^3/atom
- Relative energy among the computed polymorphs: 31 meV/atom
- Space-group type: C2/m, No. 12
- E_form (uncorrected): -2.03 eV/atom

a b c (Å): 5.0835 5.0835 19.7809
angles (deg): 91.26 91.26 66.47
Atoms (fractional coordinates):
Li  0.0022  0.0022  0.1585
Li  0.3364  0.3364  0.9116
Li  0.3392  0.3392  0.2292
Li  0.6608  0.6608  0.7708
Li  0.6636  0.6636  0.0884
Li  0.9978  0.9978  0.8415
Sb  0.0000  0.0000  0.0000
Sb  0.0000  0.0000  0.5000
Sb  0.0029  0.0029  0.3205
Sb  0.9971  0.9971  0.6795
P  0.3465  0.3465  0.7624
P  0.3550  0.3550  0.0792
P  0.3555  0.3555  0.4010
P  0.6445  0.6445  0.5990
P  0.6450  0.6450  0.9208
P  0.6535  0.6535  0.2376
O  0.2309  0.6902  0.4108
O  0.2323  0.2323  0.4558
O  0.2385  0.6847  0.7624
O  0.2407  0.2407  0.1366
O  0.2429  0.2429  0.8234
O  0.2456  0.2456  0.6961
O  0.2471  0.6911  0.0835
O  0.2697  0.2697  0.0086
O  0.2886  0.2886  0.3280
O  0.3089  0.7529  0.9165
O  0.3098  0.7691  0.5892
O  0.3153  0.7615  0.2376
O  0.6847  0.2385  0.7624
O  0.6902  0.2309  0.4108
O  0.6911  0.2471  0.0835
O  0.7114  0.7114  0.6720
O  0.7303  0.7303  0.9914
O  0.7529  0.3089  0.9165
O  0.7544  0.7544  0.3039
O  0.7571  0.7571  0.1766
O  0.7593  0.7593  0.8634
O  0.7615  0.3153  0.2376
O  0.7677  0.7677  0.5442
O  0.7691  0.3098  0.5892